1.
# SrZrCl2 | Alexandria via LeMat-Bulk | PBE | relaxed
# Raw formation energy, kJ per mole of atoms: -93.34
# E, eV/atom: -4.4482
# Excess energy over the best structure of this formula in the dataset, meV per atom: 157.9
# Magnetic moment, μB per cell: 1.15
data_SrZrCl2
_chemical_formula_sum 'Sr1 Zr1 Cl2'
_symmetry_space_group_name_H-M 'P m m m'
_symmetry_Int_Tables_number 47
_cell_length_a 3.520
_cell_length_b 4.434
_cell_length_c 6.369
_cell_angle_alpha 90.00
_cell_angle_beta 90.00
_cell_angle_gamma 90.00
loop_
_symmetry_equiv_pos_as_xyz
'x,y,z'
'-x,-y,-z'
'-x,-y,z'
'x,y,-z'
'x,-y,-z'
'-x,y,z'
'-x,y,-z'
'x,-y,z'
loop_
_atom_site_label
_atom_site_type_symbol
_atom_site_fract_x
_atom_site_fract_y
_atom_site_fract_z
Sr1 Sr 0.000 0.000 0.000
Zr1 Zr 0.500 0.000 0.500
Cl1 Cl 0.500 0.500 0.254

2.
# Rb2GaSe2 | Alexandria via LeMat-Bulk | PBE | relaxed
# Raw formation energy, kJ per mole of atoms: -36.93
# E, eV/atom: -2.7689
# Excess energy over the best structure of this formula in the dataset, meV per atom: 381.3
# Magnetic moment, μB per cell: 0.00
data_Rb2GaSe2
_chemical_formula_sum 'Rb4 Ga2 Se4'
_symmetry_space_group_name_H-M 'P 4/m b m'
_symmetry_Int_Tables_number 127
_symmetry_space_group_name_Hall '-P 4 2ab'
_cell_length_a 9.964
_cell_length_b 9.964
_cell_length_c 3.359
_cell_angle_alpha 90.00
_cell_angle_beta 90.00
_cell_angle_gamma 90.00
loop_
_atom_site_label
_atom_site_type_symbol
_atom_site_fract_x
_atom_site_fract_y
_atom_site_fract_z
Rb1 Rb 0.126 0.374 0.000
Ga1 Ga 0.000 0.000 0.000
Se1 Se 0.173 0.673 0.500

3.
# UBeCo2H8 | Alexandria via LeMat-Bulk | PBE | relaxed
# E, eV/atom: -4.6023
# Magnetic moment, μB per cell: 1.83
data_UBeCo2H8
_chemical_formula_sum 'U1 Be1 Co2 H8'
_symmetry_space_group_name_H-M 'P -3 m 1'
_symmetry_Int_Tables_number 164
_symmetry_space_group_name_Hall '-P 3 2"'
_cell_length_a 4.4746
_cell_length_b 4.4746
_cell_length_c 5.7296
_cell_angle_alpha 90.00
_cell_angle_beta 90.00
_cell_angle_gamma 120.00
loop_
_atom_site_label
_atom_site_type_symbol
_atom_site_fract_x
_atom_site_fract_y
_atom_site_fract_z
U1 U 0.0000 0.0000 0.0000
Be1 Be 0.0000 0.0000 0.5000
Co1 Co 0.3333 0.6667 0.1491
H1 H 0.1562 0.3123 0.3222
H2 H 0.3333 0.6667 0.8774

4.
# Pm4NdTmSe8 | Alexandria via LeMat-Bulk | PBE | relaxed
# Raw formation energy, kJ per mole of atoms: -166.40
# E, eV/atom: -5.7330
# Magnetic moment, μB per cell: 0.01
data_Pm4NdTmSe8
_chemical_formula_sum 'Pm12 Nd3 Tm3 Se24'
_symmetry_space_group_name_H-M 'R 3 m'
_symmetry_Int_Tables_number 160
_symmetry_space_group_name_Hall 'R 3 -2"'
_cell_length_a 8.5983
_cell_length_b 8.5983
_cell_length_c 21.0808
_cell_angle_alpha 90.00
_cell_angle_beta 90.00
_cell_angle_gamma 120.00
loop_
_atom_site_label
_atom_site_type_symbol
_atom_site_fract_x
_atom_site_fract_y
_atom_site_fract_z
Pm1 Pm 0.0000 0.0000 0.0000
Pm2 Pm 0.1690 0.3380 0.2076
Nd1 Nd 0.0000 0.0000 0.3766
Tm1 Tm 0.0000 0.0000 0.7497
Se1 Se 0.0000 0.0000 0.1332
Se2 Se 0.0000 0.0000 0.6214
Se3 Se 0.0075 0.5037 0.1266
Se4 Se 0.1769 0.3538 0.9548

5.
# Tb12Tl6O | Alexandria via LeMat-Bulk | PBE | relaxed
# Raw formation energy, kJ per mole of atoms: -42.41
# E, eV/atom: -4.3721
# Magnetic moment, μB per cell: 0.00
data_Tb12Tl6O
_chemical_formula_sum 'Tb36 Tl18 O3'
_symmetry_space_group_name_H-M 'R -3'
_symmetry_Int_Tables_number 148
_symmetry_space_group_name_Hall '-R 3'
_cell_length_a 12.1028
_cell_length_b 12.1028
_cell_length_c 13.0886
_cell_angle_alpha 90.00
_cell_angle_beta 90.00
_cell_angle_gamma 120.00
loop_
_atom_site_label
_atom_site_type_symbol
_atom_site_fract_x
_atom_site_fract_y
_atom_site_fract_z
Tb1 Tb 0.0337 0.8535 0.3896
Tb2 Tb 0.0349 0.1843 0.8822
Tl1 Tl 0.0016 0.6099 0.2550
O1 O 0.0000 0.0000 0.5000

6.
# Y2CdRh2 | Alexandria via LeMat-Bulk | PBE | relaxed
# E, eV/atom: -6.3852
# Calculated formation energy, eV/f.u.: -3.4
# Magnetic moment, μB per cell: 0.00
data_Y2CdRh2
_chemical_formula_sum 'Y8 Cd4 Rh8'
_symmetry_space_group_name_H-M 'C 1 2/c 1'
_symmetry_Int_Tables_number 15
_cell_length_a 10.285
_cell_length_b 5.403
_cell_length_c 8.237
_cell_angle_alpha 90.00
_cell_angle_beta 109.25
_cell_angle_gamma 90.00
loop_
_symmetry_equiv_pos_as_xyz
'x,y,z'
'-x,-y,-z'
'-x,y,-z+1/2'
'x,-y,z+1/2'
'x+1/2,y+1/2,z'
'-x+1/2,-y+1/2,-z'
'-x+1/2,y+1/2,-z+1/2'
'x+1/2,-y+1/2,z+1/2'
loop_
_atom_site_label
_atom_site_type_symbol
_atom_site_fract_x
_atom_site_fract_y
_atom_site_fract_z
Y1 Y 0.146 0.161 0.149
Cd1 Cd 0.000 0.330 0.750
Rh1 Rh 0.139 0.344 0.515

7.
# Mn3TlRe | Alexandria via LeMat-Bulk | PBE | relaxed
# E, eV/atom: -7.3002
# Calculated formation energy, eV/f.u.: 5.8
# Excess energy over the best structure of this formula in the dataset, meV per atom: 0.0
# Magnetic moment, μB per cell: 10.13
data_Mn3TlRe
_chemical_formula_sum 'Mn3 Tl1 Re1'
_symmetry_space_group_name_H-M 'P m -3 m'
_symmetry_Int_Tables_number 221
_symmetry_space_group_name_Hall '-P 4 2 3'
_cell_length_a 4.761
_cell_length_b 4.761
_cell_length_c 4.761
_cell_angle_alpha 90.00
_cell_angle_beta 90.00
_cell_angle_gamma 90.00
loop_
_atom_site_label
_atom_site_type_symbol
_atom_site_fract_x
_atom_site_fract_y
_atom_site_fract_z
Mn1 Mn 0.000 0.000 0.500
Tl1 Tl 0.500 0.500 0.500
Re1 Re 0.000 0.000 0.000

8.
# Tc2AgMo | Alexandria via LeMat-Bulk | PBE | relaxed
# E, eV/atom: -8.1576
# Calculated formation energy, eV/f.u.: 1.8
# Excess energy over the best structure of this formula in the dataset, meV per atom: 175.7
# Magnetic moment, μB per cell: 0.00
data_Tc2AgMo
_chemical_formula_sum 'Tc4 Ag2 Mo2'
_symmetry_space_group_name_H-M 'I 4/m m m'
_symmetry_Int_Tables_number 139
_symmetry_space_group_name_Hall '-I 4 2'
_cell_length_a 3.988
_cell_length_b 3.988
_cell_length_c 7.764
_cell_angle_alpha 90.00
_cell_angle_beta 90.00
_cell_angle_gamma 90.00
loop_
_atom_site_label
_atom_site_type_symbol
_atom_site_fract_x
_atom_site_fract_y
_atom_site_fract_z
Tc1 Tc 0.000 0.500 0.250
Ag1 Ag 0.000 0.000 0.000
Mo1 Mo 0.000 0.000 0.500

9.
# SiS2Cl | Alexandria via LeMat-Bulk | PBE | relaxed
# Raw formation energy, kJ per mole of atoms: 43.22
# E, eV/atom: -3.4332
# Excess energy over the best structure of this formula in the dataset, meV per atom: 563.9
# Magnetic moment, μB per cell: 0.00
data_SiS2Cl
_chemical_formula_sum 'Si3 S6 Cl3'
_symmetry_space_group_name_H-M 'R -3 m'
_symmetry_Int_Tables_number 166
_symmetry_space_group_name_Hall '-R 3 2"'
_cell_length_a 2.7618
_cell_length_b 2.7618
_cell_length_c 34.9968
_cell_angle_alpha 90.00
_cell_angle_beta 90.00
_cell_angle_gamma 120.00
loop_
_atom_site_label
_atom_site_type_symbol
_atom_site_fract_x
_atom_site_fract_y
_atom_site_fract_z
Si1 Si 0.0000 0.0000 0.0000
S1 S 0.0000 0.0000 0.0635
Cl1 Cl 0.0000 0.0000 0.5000

10.
# ZnGeIr3 | Alexandria via LeMat-Bulk | PBE | relaxed
# E, eV/atom: -5.4697
# Calculated formation energy, eV/f.u.: 5.1
# Magnetic moment, μB per cell: 0.00
data_ZnGeIr3
_chemical_formula_sum 'Zn1 Ge1 Ir3'
_symmetry_space_group_name_H-M 'P m -3 m'
_symmetry_Int_Tables_number 221
_symmetry_space_group_name_Hall '-P 4 2 3'
_cell_length_a 4.542
_cell_length_b 4.542
_cell_length_c 4.542
_cell_angle_alpha 90.00
_cell_angle_beta 90.00
_cell_angle_gamma 90.00
loop_
_atom_site_label
_atom_site_type_symbol
_atom_site_fract_x
_atom_site_fract_y
_atom_site_fract_z
Zn1 Zn 0.000 0.000 0.000
Ge1 Ge 0.500 0.500 0.500
Ir1 Ir 0.000 0.500 0.500

11.
# AcPt2Rh | Alexandria via LeMat-Bulk | PBE | relaxed
# E, eV/atom: -6.6645
# Calculated formation energy, eV/f.u.: -3.1
# Excess energy over the best structure of this formula in the dataset, meV per atom: 0.0
# Magnetic moment, μB per cell: 0.00
data_AcPt2Rh
_chemical_formula_sum 'Ac9 Pt18 Rh9'
_symmetry_space_group_name_H-M 'R -3 m'
_symmetry_Int_Tables_number 166
_symmetry_space_group_name_Hall '-R 3 2"'
_cell_length_a 5.5229
_cell_length_b 5.5229
_cell_length_c 27.2582
_cell_angle_alpha 90.00
_cell_angle_beta 90.00
_cell_angle_gamma 120.00
loop_
_atom_site_label
_atom_site_type_symbol
_atom_site_fract_x
_atom_site_fract_y
_atom_site_fract_z
Ac1 Ac 0.0000 0.0000 0.0000
Ac2 Ac 0.0000 0.0000 0.1399
Pt1 Pt 0.0014 0.5007 0.9184
Rh1 Rh 0.0000 0.0000 0.3322
Rh2 Rh 0.0000 0.0000 0.5000

12.
# ZnNiN2 | Alexandria via LeMat-Bulk | PBE | relaxed
# Raw formation energy, kJ per mole of atoms: 91.20
# E, eV/atom: -4.9813
# Magnetic moment, μB per cell: 0.00
data_ZnNiN2
_chemical_formula_sum 'Zn3 Ni3 N6'
_symmetry_space_group_name_H-M 'R -3 m'
_symmetry_Int_Tables_number 166
_symmetry_space_group_name_Hall '-R 3 2"'
_cell_length_a 3.0182
_cell_length_b 3.0182
_cell_length_c 17.1986
_cell_angle_alpha 90.00
_cell_angle_beta 90.00
_cell_angle_gamma 120.00
loop_
_atom_site_label
_atom_site_type_symbol
_atom_site_fract_x
_atom_site_fract_y
_atom_site_fract_z
Zn1 Zn 0.0000 0.0000 0.0000
Ni1 Ni 0.0000 0.0000 0.5000
N1 N 0.0000 0.0000 0.3992

13.
# P3W | Alexandria via LeMat-Bulk | PBE | relaxed
# E, eV/atom: -7.0833
# Calculated formation energy, eV/f.u.: 0.8
# Excess energy over the best structure of this formula in the dataset, meV per atom: 362.7
# Magnetic moment, μB per cell: 0.00
data_P3W
_chemical_formula_sum 'P6 W2'
_symmetry_space_group_name_H-M 'C 1 2/m 1'
_symmetry_Int_Tables_number 12
_cell_length_a 8.422
_cell_length_b 3.140
_cell_length_c 4.498
_cell_angle_alpha 90.00
_cell_angle_beta 92.63
_cell_angle_gamma 90.00
loop_
_symmetry_equiv_pos_as_xyz
'x,y,z'
'-x,-y,-z'
'-x,y,-z'
'x,-y,z'
'x+1/2,y+1/2,z'
'-x+1/2,-y+1/2,-z'
'-x+1/2,y+1/2,-z'
'x+1/2,-y+1/2,z'
loop_
_atom_site_label
_atom_site_type_symbol
_atom_site_fract_x
_atom_site_fract_y
_atom_site_fract_z
P1 P 0.000 0.000 0.000
P2 P 0.216 0.000 0.711
W1 W 0.000 0.500 0.500

14.
# K4PuTh3Te8 | Alexandria via LeMat-Bulk | PBE | relaxed
# Raw formation energy, kJ per mole of atoms: -113.64
# E, eV/atom: -5.3100
# Magnetic moment, μB per cell: 19.22
data_K4PuTh3Te8
_chemical_formula_sum 'K12 Pu3 Th9 Te24'
_symmetry_space_group_name_H-M 'R -3 m'
_symmetry_Int_Tables_number 166
_symmetry_space_group_name_Hall '-R 3 2"'
_cell_length_a 9.0449
_cell_length_b 9.0449
_cell_length_c 25.1590
_cell_angle_alpha 90.00
_cell_angle_beta 90.00
_cell_angle_gamma 120.00
loop_
_atom_site_label
_atom_site_type_symbol
_atom_site_fract_x
_atom_site_fract_y
_atom_site_fract_z
K1 K 0.0000 0.0000 0.0000
K2 K 0.0000 0.5000 0.0000
Pu1 Pu 0.0000 0.0000 0.5000
Th1 Th 0.0000 0.5000 0.5000
Te1 Te 0.0000 0.0000 0.2398
Te2 Te 0.0020 0.5010 0.7609

15.
# YInAgIr | Alexandria via LeMat-Bulk | PBE | relaxed
# E, eV/atom: -5.6124
# Calculated formation energy, eV/f.u.: -1.5
# Magnetic moment, μB per cell: 0.00
data_YInAgIr
_chemical_formula_sum 'Y4 In4 Ag4 Ir4'
_symmetry_space_group_name_H-M 'F -4 3 m'
_symmetry_Int_Tables_number 216
_symmetry_space_group_name_Hall 'F -4 2 3'
_cell_length_a 6.840
_cell_length_b 6.840
_cell_length_c 6.840
_cell_angle_alpha 90.00
_cell_angle_beta 90.00
_cell_angle_gamma 90.00
loop_
_atom_site_label
_atom_site_type_symbol
_atom_site_fract_x
_atom_site_fract_y
_atom_site_fract_z
Y1 Y 0.000 0.000 0.000
In1 In 0.000 0.000 0.500
Ag1 Ag 0.250 0.250 0.250
Ir1 Ir 0.250 0.250 0.750

16.
# Na2YMgV | Alexandria via LeMat-Bulk | PBE | relaxed
# E, eV/atom: -3.0061
# Calculated formation energy, eV/f.u.: 4.8
# Magnetic moment, μB per cell: 4.16
data_Na2YMgV
_chemical_formula_sum 'Na2 Y1 Mg1 V1'
_symmetry_space_group_name_H-M 'P 4/m m m'
_symmetry_Int_Tables_number 123
_symmetry_space_group_name_Hall '-P 4 2'
_cell_length_a 5.530
_cell_length_b 5.530
_cell_length_c 5.579
_cell_angle_alpha 90.00
_cell_angle_beta 90.00
_cell_angle_gamma 90.00
loop_
_atom_site_label
_atom_site_type_symbol
_atom_site_fract_x
_atom_site_fract_y
_atom_site_fract_z
Na1 Na 0.000 0.500 0.000
Y1 Y 0.000 0.000 0.500
Mg1 Mg 0.500 0.500 0.500
V1 V 0.000 0.000 0.000

17.
# Mg2CdCl | Alexandria via LeMat-Bulk | PBE | relaxed
# Raw formation energy, kJ per mole of atoms: -34.06
# E, eV/atom: -1.8407
# Excess energy over the best structure of this formula in the dataset, meV per atom: 217.2
# Magnetic moment, μB per cell: 0.00
data_Mg2CdCl
_chemical_formula_sum 'Mg8 Cd4 Cl4'
_symmetry_space_group_name_H-M 'I -4 2 d'
_symmetry_Int_Tables_number 122
_symmetry_space_group_name_Hall 'I -4 2bw'
_cell_length_a 7.679
_cell_length_b 7.679
_cell_length_c 6.588
_cell_angle_alpha 90.00
_cell_angle_beta 90.00
_cell_angle_gamma 90.00
loop_
_atom_site_label
_atom_site_type_symbol
_atom_site_fract_x
_atom_site_fract_y
_atom_site_fract_z
Mg1 Mg 0.222 0.250 0.125
Cd1 Cd 0.000 0.000 0.500
Cl1 Cl 0.000 0.000 0.000

18.
# TmPaNb4 | Alexandria via LeMat-Bulk | PBE | relaxed
# E, eV/atom: -8.9077
# Calculated formation energy, eV/f.u.: 0.8
# Magnetic moment, μB per cell: 0.00
data_TmPaNb4
_chemical_formula_sum 'Tm4 Pa4 Nb16'
_symmetry_space_group_name_H-M 'F -4 3 m'
_symmetry_Int_Tables_number 216
_symmetry_space_group_name_Hall 'F -4 2 3'
_cell_length_a 8.016
_cell_length_b 8.016
_cell_length_c 8.016
_cell_angle_alpha 90.00
_cell_angle_beta 90.00
_cell_angle_gamma 90.00
loop_
_atom_site_label
_atom_site_type_symbol
_atom_site_fract_x
_atom_site_fract_y
_atom_site_fract_z
Tm1 Tm 0.000 0.000 0.000
Pa1 Pa 0.250 0.250 0.250
Nb1 Nb 0.124 0.124 0.624

What did we get for calculated density? Answer: 4.2 4.0 6.2 5.6 9.4 7.6 8.5 10.8 2.8 12.7 14.9 5.6 7.7 5.9 10.5 2.0 3.4 10.0 g/cm3, in the order shown.